No. 1
SmZnAu6 | PBE-GGA | optimized geometry

The structure in POSCAR format:
```
SmZnAu6
1.0
4.003 0.000 0.000
0.000 4.003 0.000
0.000 0.000 10.363
Au Zn Sm
6 1 1
direct
0.000 0.500 0.327
0.500 0.500 0.130
0.500 0.000 0.327
0.500 0.000 0.673
0.500 0.500 0.870
0.000 0.500 0.673
0.000 0.000 0.500
0.000 0.000 0.000
```



No. 2
SmZrAu | PBE-GGA | optimized geometry

As for the energy relative to the lowest polymorph listed for this composition: 0.203 eV/f.u.

The structure in POSCAR format:
```
SmZrAu
1.0
-2.463 -2.162 1.144
2.414 -1.888 1.630
-0.665 5.454 3.608
Zr Sm Au
1 1 1
direct
0.688 0.688 0.375
0.997 0.997 0.995
0.315 0.315 0.630
```



No. 3
SmZrAu | PBE-GGA | optimized geometry

As for the energy relative to the lowest polymorph listed for this composition: 0.583 eV/f.u.

The structure in POSCAR format:
```
SmZrAu
1.0
-0.023 3.179 -2.710
-3.650 1.868 2.222
4.339 1.128 1.285
Zr Sm Au
1 1 1
direct
0.167 0.000 0.000
0.667 0.667 0.333
0.167 0.333 0.667
```



No. 4
Sm2ZrAu6 | PBE-GGA | optimized geometry

The structure in POSCAR format:
```
Sm2ZrAu6
1.0
5.153 0.107 0.820
2.313 4.390 1.723
-0.029 -0.228 8.627
Sm Au Zr
2 6 1
direct
0.500 0.166 0.167
0.500 0.834 0.833
0.166 0.515 0.814
0.669 0.670 0.500
0.331 0.330 0.500
0.166 0.830 0.186
0.834 0.485 0.186
0.834 0.170 0.814
0.000 0.000 0.500
```



No. 5
SmZrAu | PBE-GGA | optimized geometry

As for the energy relative to the lowest polymorph listed for this composition: 0.000 eV/f.u.

The structure in POSCAR format:
```
SmZrAu
1.0
4.498 0.000 0.000
0.000 4.498 0.000
0.000 0.000 7.466
Zr Au Sm
2 2 2
direct
0.500 0.500 0.500
0.000 0.000 0.500
0.000 0.500 0.249
0.500 0.000 0.751
0.500 0.000 0.140
0.000 0.500 0.860
```



No. 6
SnAu | PBE-GGA | optimized geometry

The structure in POSCAR format:
```
SnAu
1.0
-3.472 -10.535 -3.049
-0.227 -2.403 8.563
-6.918 2.157 0.422
Sn Au
16 16
direct
0.250 0.964 0.750
0.000 0.214 0.500
0.000 0.714 0.000
0.750 0.536 0.250
0.750 0.464 0.750
0.250 0.036 0.250
0.500 0.214 0.000
0.250 0.536 0.750
0.000 0.286 0.000
0.250 0.464 0.250
0.750 0.964 0.250
0.750 0.036 0.750
0.500 0.786 0.000
0.500 0.286 0.500
0.500 0.714 0.500
0.000 0.786 0.500
0.000 0.000 0.204
0.000 0.500 0.704
0.750 0.250 0.454
0.250 0.250 0.546
0.500 0.000 0.296
0.500 0.000 0.704
0.750 0.750 0.954
0.500 0.500 0.796
0.250 0.250 0.954
0.750 0.750 0.546
0.250 0.750 0.454
0.500 0.500 0.204
0.250 0.750 0.046
0.000 0.500 0.296
0.750 0.250 0.046
0.000 0.000 0.796
```



No. 7
Sn6Au | PBE-GGA | optimized geometry

The structure in POSCAR format:
```
Sn6Au
1.0
6.993 0.000 0.000
-2.331 6.593 0.000
-2.331 -3.296 5.710
Sn Au
6 1
direct
0.250 0.500 0.750
0.500 0.250 0.750
0.250 0.750 0.500
0.750 0.250 0.500
0.500 0.750 0.250
0.750 0.500 0.250
0.000 0.000 0.000
```



No. 8
Sn2Au | PBE-GGA | optimized geometry

The structure in POSCAR format:
```
Sn2Au
1.0
-3.562 -3.224 -3.111
-1.150 -3.528 4.357
-1.608 5.270 0.735
Sn Au
4 2
direct
0.459 0.193 0.364
0.541 0.807 0.636
0.807 0.541 0.136
0.193 0.459 0.864
0.907 0.093 0.250
0.093 0.907 0.750
```



no.,ΔE_f (eV per atom)
1,-0.31
2,-0.38
3,-0.25
4,-0.64
5,-0.45
6,-0.14
7,0.39
8,-0.09